No. 1
The following is a DFT calculation (PBE-GGA) of a relaxed structure of Cu2PbW.

Summary:
raw total energy = -21.82 eV/cell
density of states at the Fermi level = 0.7193 states/eV per atom
calculated formation energy = 0.7581 eV/atom
crystal system = orthorhombic

Cell lengths 5.637, 5.637, 5.637 Å; angles 149.91, 129.19, 60.19 degrees
Sites, in units of the cell vectors:
Cu: 0.232 0.232 0.000
Cu: 0.768 0.768 0.000
Pb: 0.500 0.000 0.500
W: 0.000 0.500 0.500

***

No. 2
The following is a DFT calculation (PBE-GGA) of a relaxed structure of Cu2PbW.

Summary:
raw total energy = -22.18 eV/cell
density of states at the Fermi level = 0.4758 states/eV per atom
calculated formation energy = 0.6679 eV/atom
crystal system = trigonal

Cell lengths 9.375, 9.375, 9.375 Å; angles 18.17, 18.17, 18.17 degrees
Sites, in units of the cell vectors:
Cu: 0.000 0.000 0.000
Cu: 0.266 0.266 0.266
Pb: 0.503 0.503 0.503
W: 0.741 0.741 0.741

***

No. 3
The following is a DFT calculation (PBE-GGA) of a relaxed structure of CuPbW.

Summary:
raw total energy = -18.35 eV/cell
density of states at the Fermi level = 0.8475 states/eV per atom
calculated formation energy = 0.8040 eV/atom
crystal system = tetragonal
ΔE to the lowest computed polymorph = 0.000 eV/atom

Cell lengths 7.367, 7.367, 7.367 Å; angles 157.10, 157.10, 32.61 degrees
Sites, in units of the cell vectors:
Cu: 0.000 0.000 0.000
Pb: 0.288 0.288 0.000
W: 0.615 0.615 0.000

***

No. 4
The following is a DFT calculation (PBE-GGA) of a relaxed structure of Cu2Pb2W.

Summary:
raw total energy = -48.32 eV/cell
density of states at the Fermi level = 0.5442 states/eV per atom
calculated formation energy = 0.8807 eV/atom
crystal system = tetragonal
ΔE to the lowest computed polymorph = 0.131 eV/atom

Cell lengths 7.727, 7.727, 3.224 Å; angles 90.00, 90.00, 90.00 degrees
Sites, in units of the cell vectors:
Cu: 0.125 0.375 0.000
Cu: 0.375 0.875 0.000
Cu: 0.625 0.125 0.000
Cu: 0.875 0.625 0.000
Pb: 0.170 0.670 0.500
Pb: 0.330 0.170 0.500
Pb: 0.670 0.830 0.500
Pb: 0.830 0.330 0.500
W: 0.000 0.000 0.500
W: 0.500 0.500 0.500

***

No. 5
The following is a DFT calculation (PBE-GGA) of a relaxed structure of CuPbW.

Summary:
raw total energy = -18.19 eV/cell
density of states at the Fermi level = 0.7731 states/eV per atom
calculated formation energy = 0.8543 eV/atom
crystal system = orthorhombic
ΔE to the lowest computed polymorph = 0.050 eV/atom

Cell lengths 5.533, 5.533, 5.533 Å; angles 148.98, 140.50, 51.05 degrees
Sites, in units of the cell vectors:
Cu: 0.000 0.000 0.000
Pb: 0.688 0.688 0.000
W: 0.387 0.387 0.000

***

No. 6
The following is a DFT calculation (PBE-GGA) of a relaxed structure of CuPbW.

Summary:
raw total energy = -18.32 eV/cell
density of states at the Fermi level = 0.6213 states/eV per atom
calculated formation energy = 0.8123 eV/atom
crystal system = trigonal
ΔE to the lowest computed polymorph = 0.008 eV/atom

Cell lengths 3.040, 3.040, 7.010 Å; angles 90.00, 90.00, 120.00 degrees
Sites, in units of the cell vectors:
Cu: 0.000 0.000 0.000
Pb: 0.333 0.667 0.354
W: 0.667 0.333 0.716